Entry 1:
Material: Li2YTl2Cd2
Method: DFT, PBE
State: relaxed

a b c (Å): 8.664 4.851 7.945
angles (deg): 90.00 107.34 90.00
Space group C2/m (No. 12)
Inequivalent atoms, fractional coordinates:
1 Li 0.136 0.000 0.431 [4 per cell]
2 Y 0.000 0.000 0.000 [2 per cell]
3 Tl 0.220 0.500 0.185 [4 per cell]
4 Cd 0.077 0.500 0.698 [4 per cell]

Entry 2:
Material: LiZrTlCd
Method: DFT, PBE
State: relaxed

Distance to the lowest polymorph of the same formula   0.000 eV/atom

a b c (Å): 3.231 3.231 7.894
angles (deg): 90.00 90.00 90.00
Space group P4mm (No. 99)
Inequivalent atoms, fractional coordinates:
1 Li 0.000 0.000 0.000 [1 per cell]
2 Zr 0.000 0.000 0.515 [1 per cell]
3 Tl 0.500 0.500 0.231 [1 per cell]
4 Cd 0.500 0.500 0.782 [1 per cell]

Entry 3:
Material: LiZrTlCd
Method: DFT, PBE
State: relaxed

Distance to the lowest polymorph of the same formula   0.088 eV/atom

a b c (Å): 6.984 6.984 6.984
angles (deg): 90.00 90.00 90.00
Space group F-43m (No. 216)
Inequivalent atoms, fractional coordinates:
1 Li 0.000 0.000 0.000 [4 per cell]
2 Zr 0.000 0.000 0.500 [4 per cell]
3 Tl 0.250 0.250 0.750 [4 per cell]
4 Cd 0.250 0.250 0.250 [4 per cell]

Entry 4:
Material: LiTmCd4
Method: DFT, PBE
State: relaxed

Distance to the lowest polymorph of the same formula   0.000 eV/atom

a b c (Å): 4.941 6.634 8.424
angles (deg): 90.00 90.00 90.00
Space group Immm (No. 71)
Inequivalent atoms, fractional coordinates:
1 Li 0.000 0.000 0.000 [2 per cell]
2 Tm 0.000 0.500 0.000 [2 per cell]
3 Cd 0.000 0.249 0.332 [8 per cell]

Entry 5:
Material: Li4TmCd15
Method: DFT, PBE
State: relaxed

a b c (Å): 4.409 4.409 21.954
angles (deg): 90.00 90.00 90.00
Space group P4/mmm (No. 123)
Inequivalent atoms, fractional coordinates:
1 Li 0.000 0.000 0.097 [2 per cell]
2 Li 0.000 0.000 0.295 [2 per cell]
3 Tm 0.000 0.000 0.500 [1 per cell]
4 Cd 0.000 0.500 0.000 [2 per cell]
5 Cd 0.000 0.500 0.196 [4 per cell]
6 Cd 0.000 0.500 0.392 [4 per cell]
7 Cd 0.500 0.500 0.099 [2 per cell]
8 Cd 0.500 0.500 0.293 [2 per cell]
9 Cd 0.500 0.500 0.500 [1 per cell]

Entry 6:
Material: LiTmCd2
Method: DFT, PBE
State: relaxed

Distance to the lowest polymorph of the same formula   0.017 eV/atom

a b c (Å): 7.079 7.079 7.079
angles (deg): 90.00 90.00 90.00
Space group Fm-3m (No. 225)
Inequivalent atoms, fractional coordinates:
1 Li 0.000 0.000 0.000 [4 per cell]
2 Tm 0.000 0.000 0.500 [4 per cell]
3 Cd 0.250 0.250 0.250 [8 per cell]

Entry 7:
Material: Li2TmCd
Method: DFT, PBE
State: relaxed

Distance to the lowest polymorph of the same formula   0.000 eV/atom

a b c (Å): 6.853 6.853 6.853
angles (deg): 90.00 90.00 90.00
Space group Fm-3m (No. 225)
Inequivalent atoms, fractional coordinates:
1 Li 0.250 0.250 0.250 [8 per cell]
2 Tm 0.000 0.000 0.000 [4 per cell]
3 Cd 0.000 0.000 0.500 [4 per cell]

Entry 8:
Material: LiTm2Cd2
Method: DFT, PBE
State: relaxed

a b c (Å): 7.653 12.015 5.538
angles (deg): 90.00 90.00 90.00
Space group Ibam (No. 72)
Inequivalent atoms, fractional coordinates:
1 Li 0.000 0.000 0.250 [4 per cell]
2 Tm 0.149 0.300 0.000 [8 per cell]
3 Cd 0.192 0.437 0.500 [8 per cell]

Entry 9:
Material: Li3TmCd9
Method: DFT, PBE
State: relaxed

a b c (Å): 5.390 14.056 7.544
angles (deg): 90.00 110.80 90.00
Space group C2/m (No. 12)
Inequivalent atoms, fractional coordinates:
1 Li 0.000 0.000 0.000 [2 per cell]
2 Li 0.250 0.250 0.500 [4 per cell]
3 Tm 0.000 0.000 0.500 [2 per cell]
4 Cd 0.000 0.500 0.000 [2 per cell]
5 Cd 0.111 0.392 0.707 [8 per cell]
6 Cd 0.165 0.176 0.838 [8 per cell]

Entry 10:
Material: Li3TmCd12
Method: DFT, PBE
State: relaxed

a b c (Å): 4.482 4.482 17.038
angles (deg): 90.00 90.00 90.00
Space group P4/mmm (No. 123)
Inequivalent atoms, fractional coordinates:
1 Li 0.000 0.000 0.000 [1 per cell]
2 Li 0.000 0.000 0.242 [2 per cell]
3 Tm 0.000 0.000 0.500 [1 per cell]
4 Cd 0.000 0.500 0.119 [4 per cell]
5 Cd 0.000 0.500 0.364 [4 per cell]
6 Cd 0.500 0.500 0.000 [1 per cell]
7 Cd 0.500 0.500 0.239 [2 per cell]
8 Cd 0.500 0.500 0.500 [1 per cell]

Entry 11:
Material: Li2TmCd6
Method: DFT, PBE
State: relaxed

a b c (Å): 8.4987 8.4987 9.6919
angles (deg): 90.00 90.00 120.00
Space group R-3m (No. 166, hexagonal axes)
Inequivalent atoms, fractional coordinates:
1 Li 0.0000 0.0000 0.1606 [6 per cell]
2 Tm 0.0000 0.0000 0.5000 [3 per cell]
3 Cd 0.0000 0.3322 0.0000 [18 per cell]

Entry 12:
Material: LiTmCd2
Method: DFT, PBE
State: relaxed

Distance to the lowest polymorph of the same formula   0.000 eV/atom

a b c (Å): 3.419 3.419 7.461
angles (deg): 90.00 90.00 90.00
Space group P4/mmm (No. 123)
Inequivalent atoms, fractional coordinates:
1 Li 0.000 0.000 0.000 [1 per cell]
2 Tm 0.000 0.000 0.500 [1 per cell]
3 Cd 0.500 0.500 0.215 [2 per cell]

| no. | calculated formation energy (eV/f.u.) |
| --- | --- |
| 1 | -1.669 |
| 2 | -0.630 |
| 3 | -0.277 |
| 4 | -1.166 |
| 5 | -3.560 |
| 6 | -0.971 |
| 7 | -0.222 |
| 8 | -0.398 |
| 9 | -2.471 |
| 10 | -2.786 |
| 11 | -1.779 |
| 12 | -1.039 |